Entry 1:
NdSm2YTm | PBE | optimized geometry

## Properties
- DFT total energy (eV per atom) = -4.622

abc: 8.446 11.598 7.264
angles: 90.00 90.00 90.00
Space group Cmcm (No. 63)
Unique sites:
1 Nd 0.000 0.226 0.250 [4 per cell]
2 Sm 0.190 0.000 0.000 [8 per cell]
3 Y 0.000 0.495 0.250 [4 per cell]
4 Tm 0.000 0.226 0.750 [4 per cell]



Entry 2:
Nd6Sm2Y3Tm | PBE | optimized geometry

## Properties
- DFT total energy (eV per atom) = -5.148

abc: 6.301 10.914 11.943
angles: 90.00 100.10 90.00
Space group C2/m (No. 12)
Unique sites:
1 Nd 0.249 0.000 0.249 [4 per cell]
2 Nd 0.250 0.166 0.750 [8 per cell]
3 Sm 0.000 0.333 0.500 [4 per cell]
4 Y 0.000 0.167 0.000 [4 per cell]
5 Y 0.000 0.500 0.000 [2 per cell]
6 Tm 0.000 0.000 0.500 [2 per cell]



Entry 3:
Nd2Sm4Y2Tm | PBE | optimized geometry

## Properties
- DFT total energy (eV per atom) = -5.086

abc: 18.891 3.649 9.684
angles: 90.00 115.66 90.00
Space group C2/m (No. 12)
Unique sites:
1 Nd 0.165 0.000 0.499 [4 per cell]
2 Sm 0.018 0.000 0.832 [4 per cell]
3 Sm 0.185 0.500 0.834 [4 per cell]
4 Y 0.147 0.500 0.165 [4 per cell]
5 Tm 0.000 0.500 0.500 [2 per cell]



Entry 4:
NdSm3YTm | PBE | optimized geometry

## Properties
- DFT total energy (eV per atom) = -4.809

abc: 22.089 5.606 6.738
angles: 90.00 98.51 90.00
Space group C2/m (No. 12)
Unique sites:
1 Nd 0.070 0.000 0.191 [4 per cell]
2 Sm 0.024 0.500 0.763 [4 per cell]
3 Sm 0.164 0.000 0.767 [4 per cell]
4 Sm 0.225 0.000 0.310 [4 per cell]
5 Y 0.167 0.500 0.025 [4 per cell]
6 Tm 0.133 0.500 0.470 [4 per cell]



Entry 5:
Nd3Sm6YTm2 | PBE | optimized geometry

## Properties
- DFT total energy (eV per atom) = -4.817

abc: 6.268 10.857 11.959
angles: 90.00 100.05 90.00
Space group C2/m (No. 12)
Unique sites:
1 Nd 0.000 0.000 0.000 [2 per cell]
2 Nd 0.000 0.333 0.000 [4 per cell]
3 Sm 0.248 0.000 0.745 [4 per cell]
4 Sm 0.250 0.167 0.255 [8 per cell]
5 Y 0.000 0.500 0.500 [2 per cell]
6 Tm 0.000 0.167 0.500 [4 per cell]



Entry 6:
Nd6SmY2Tm3 | PBE | optimized geometry

## Properties
- DFT total energy (eV per atom) = -4.959

abc: 6.274 10.865 11.846
angles: 90.00 100.14 90.00
Space group C2/m (No. 12)
Unique sites:
1 Nd 0.249 0.000 0.247 [4 per cell]
2 Nd 0.249 0.333 0.247 [8 per cell]
3 Sm 0.000 0.000 0.500 [2 per cell]
4 Y 0.000 0.333 0.500 [4 per cell]
5 Tm 0.000 0.167 0.000 [4 per cell]
6 Tm 0.000 0.500 0.000 [2 per cell]



Entry 7:
NdSm2Y2Tm | PBE | optimized geometry

## Properties
- DFT total energy (eV per atom) = -5.166

abc: 6.116 18.369 3.567
angles: 90.00 90.00 90.00
Space group Pnnm (No. 58)
Unique sites:
1 Nd 0.000 0.000 0.000 [2 per cell]
2 Sm 0.163 0.346 0.500 [4 per cell]
3 Y 0.162 0.159 0.500 [4 per cell]
4 Tm 0.000 0.500 0.000 [2 per cell]



Entry 8:
NdSm5Y2Tm | PBE | optimized geometry

## Properties
- DFT total energy (eV per atom) = -4.942

abc: 5.656 20.255 10.722
angles: 90.00 90.00 90.00
Space group Cmc2_1 (No. 36)
Unique sites:
1 Nd 0.000 0.203 0.000 [4 per cell]
2 Sm 0.000 0.018 0.015 [4 per cell]
3 Sm 0.000 0.283 0.297 [4 per cell]
4 Sm 0.000 0.298 0.695 [4 per cell]
5 Sm 0.000 0.395 0.016 [4 per cell]
6 Sm 0.000 0.479 0.734 [4 per cell]
7 Y 0.000 0.109 0.728 [4 per cell]
8 Y 0.000 0.116 0.311 [4 per cell]
9 Tm 0.000 0.411 0.451 [4 per cell]



Copy entry 1 word for word.
NdSm2YTm | PBE | optimized geometry

## Properties
- DFT total energy (eV per atom) = -4.622

abc: 8.446 11.598 7.264
angles: 90.00 90.00 90.00
Space group Cmcm (No. 63)
Unique sites:
1 Nd 0.000 0.226 0.250 [4 per cell]
2 Sm 0.190 0.000 0.000 [8 per cell]
3 Y 0.000 0.495 0.250 [4 per cell]
4 Tm 0.000 0.226 0.750 [4 per cell]